No. 1
A geometry-optimized La3Sn2Pd structure, computed with PBE.

Summary:
V (Å³/f.u.): 184
Crystal system: orthorhombic
Size of the total moment (μB/atom): 0.126
Formation energy (eV/f.u.): -5.015

Lattice parameters (Å, degrees): 12.7908 4.6960 12.2205 90.00 90.00 90.00
Space group Pnma (No. 62)
Asymmetric unit:
1 La 0.0527 0.2500 0.1276 x4
2 La 0.1219 0.7500 0.5540 x4
3 La 0.2289 0.2500 0.8027 x4
4 Sn 0.0082 0.7500 0.3083 x4
5 Sn 0.1920 0.7500 0.0019 x4
6 Pd 0.1223 0.2500 0.3712 x4

No. 2
A geometry-optimized LaSnPd4 structure, computed with PBE.

Summary:
V (Å³/f.u.): 116
Energy relative to the lowest polymorph listed for this composition (meV per atom): 4
Crystal system: cubic
Size of the total moment (μB/atom): 0.000
Formation energy (eV/f.u.): -3.804

Lattice parameters (Å, degrees): 7.7435 7.7435 7.7435 90.00 90.00 90.00
Space group F-43m (No. 216)
Asymmetric unit:
1 La 0.0000 0.0000 0.0000 x4
2 Sn 0.2500 0.2500 0.7500 x4
3 Pd 0.1244 0.1244 0.3756 x16

No. 3
A geometry-optimized LaTbSnPd structure, computed with PBE.

Summary:
V (Å³/f.u.): 106
Crystal system: cubic
Size of the total moment (μB/atom): 0.000
Formation energy (eV/f.u.): -2.821

Lattice parameters (Å, degrees): 7.5157 7.5157 7.5157 90.00 90.00 90.00
Space group F-43m (No. 216)
Asymmetric unit:
1 La 0.0000 0.0000 0.0000 x4
2 Tb 0.0000 0.0000 0.5000 x4
3 Sn 0.2500 0.2500 0.7500 x4
4 Pd 0.2500 0.2500 0.2500 x4

No. 4
A geometry-optimized La2TbSn3Pd6 structure, computed with PBE.

Summary:
V (Å³/f.u.): 303
Crystal system: tetragonal
Size of the total moment (μB/atom): 0.000
Formation energy (eV/f.u.): -6.721

Lattice parameters (Å, degrees): 4.1233 4.1233 17.8249 90.00 90.00 90.00
Space group P4/mmm (No. 123)
Asymmetric unit:
1 La 0.0000 0.0000 0.1849 x2
2 Tb 0.0000 0.0000 0.5000 x1
3 Sn 0.5000 0.5000 0.0000 x1
4 Sn 0.5000 0.5000 0.2938 x2
5 Pd 0.0000 0.5000 0.3870 x4
6 Pd 0.5000 0.5000 0.1432 x2